{"formula": "LiScOF2", "functional": "GGA-PBE", "state": "relaxed", "space_group": "P4/mmm, No. 123", "relative_energy_ev_per_fu": 0.000, "rho_g_cm3": 2.57, "dos_ef_per_ev_fu": 0.0, "magnetic_moment_mub_per_fu": 0.0, "final_energy_ev_per_atom": -6.457, "raw_formation_energy_ev_per_atom": -3.068, "lattice_angstrom": [[4.130, 0.000, 0.000], [0.000, 4.130, 0.000], [0.000, 0.000, 4.017]], "species": ["Sc", "F", "F", "O", "Li"], "fractional_positions": [[0.000, 0.000, 0.000], [0.500, 0.000, 0.000], [0.000, 0.500, 0.000], [0.000, 0.000, 0.500], [0.500, 0.500, 0.500]]}

{"formula": "Tb2Y8Tm", "functional": "GGA-PBE", "state": "relaxed", "space_group": "C2/m, No. 12", "relative_energy_ev_per_fu": 1.512, "rho_g_cm3": 5.55, "dos_ef_per_ev_fu": 17.2, "magnetic_moment_mub_per_fu": 0.0, "formation_enthalpy_0k_kcal_per_mol_atoms": 3.7, "final_energy_ev_per_atom": -5.788, "lattice_angstrom": [[5.642, 1.638, 0.000], [2.609, 8.643, 0.000], [1.304, 4.322, 8.060]], "species": ["Y", "Tm", "Tb", "Y", "Y", "Tb", "Y", "Y", "Y", "Y", "Y"], "fractional_positions": [[0.827, 0.332, 0.766], [0.500, 0.000, 0.000], [0.000, 0.307, 0.385], [0.173, 0.668, 0.234], [0.705, 0.575, 0.000], [0.000, 0.693, 0.615], [0.173, 0.902, 0.766], [0.500, 0.206, 0.587], [0.500, 0.794, 0.413], [0.827, 0.098, 0.234], [0.295, 0.425, 0.000]]}